Computed, not measured: a geometry-optimized K3HgPd structure at the PBE level of DFT.

```
K3HgPd
1.0
6.1952 0.0000 0.0000
0.0000 6.1952 0.0000
0.0000 0.0000 6.1952
K Hg Pd
3 1 1
Cartesian
0.0000 0.0000 3.0976
0.0000 3.0976 0.0000
3.0976 0.0000 0.0000
3.0976 3.0976 3.0976
0.0000 0.0000 0.0000
```

Calculated values
energy above the most stable polymorph in this dataset	141.0	meV/atom
energy of formation	0.034	eV per atom
SG	Pm-3m, No. 221
raw total energy	-1.7230	eV/atom
Fermi-level density of states	4.48	states/eV/f.u.